AcMg2Ag2Ge: relaxed, PBE-GGA.

Cell lengths 4.9303, 4.9303, 13.0991 Å; angles 90.00, 90.00, 90.00 degrees
With the nearest neighbours (Å) after each atom.
Space group I4/mmm (No. 139)
Inequivalent atoms, fractional coordinates:
Ac  0.0000  0.0000  0.0000  4 Ge 3.49
Mg  0.0000  0.5000  0.2500  4 Ag 2.61
Ag  0.0000  0.0000  0.3145  1 Ge 2.43, 4 Mg 2.61
Ge  0.0000  0.0000  0.5000  2 Ag 2.43

## Properties
total magnetic moment: 0.0 μB per cell
uncorrected energy: -3.0266 eV per atom
ΔE_f: -2.084 kcal/mol of atoms